No. 1
DFT (PBE-GGA) results for a geometry-optimized CaSm6Tm5 structure.

Properties
- space-group type = C2/m (12)
- Fermi-level density of states (states/eV/f.u.) = 14.3
- calculated volume (Å³/atom) = 32.47
- magnetic moment (μB/f.u.) = 0.00
- DFT total energy (eV per atom) = -4.348

extended XYZ file:
```
12
Lattice="-5.652 0.975 2.381 1.924 -6.369 4.445 4.156 4.144 5.438" Properties=species:S:1:pos:R:3 pbc="T T T"
Ca 0.000 0.000 0.000
Tm -0.518 -4.074 5.806
Tm 2.681 -2.804 4.782
Tm 0.214 -0.625 6.132
Tm 3.399 0.579 5.101
Tm 0.946 2.824 6.458
Sm -0.075 -2.724 8.982
Sm -0.259 -2.114 2.943
Sm 3.072 -1.409 8.011
Sm -2.644 0.159 4.254
Sm 0.687 0.864 9.321
Sm 0.503 1.474 3.283
```

No. 2
DFT (PBE-GGA) results for a geometry-optimized Ca2SmTm structure.

Properties
- space-group type = Pm (6)
- Fermi-level density of states (states/eV/f.u.) = 6.7
- energy relative to the lowest polymorph listed for this composition (meV per atom) = 0
- calculated volume (Å³/atom) = 35.43
- magnetic moment (μB/f.u.) = 0.41
- DFT total energy (eV per atom) = -3.171

extended XYZ file:
```
4
Lattice="3.574 -0.495 0.679 0.539 6.077 1.656 -0.763 4.615 7.440" Properties=species:S:1:pos:R:3 pbc="T T T"
Ca 0.603 8.777 6.766
Ca 2.122 5.506 6.281
Sm 0.906 5.466 2.774
Tm 2.423 2.179 2.286
```

No. 3
DFT (PBE-GGA) results for a geometry-optimized Ca2SmTm structure.

Properties
- space-group type = P4/mmm (123)
- Fermi-level density of states (states/eV/f.u.) = 6.2
- energy relative to the lowest polymorph listed for this composition (meV per atom) = 55
- calculated volume (Å³/atom) = 35.50
- magnetic moment (μB/f.u.) = 0.00
- DFT total energy (eV per atom) = -3.116

extended XYZ file:
```
4
Lattice="4.130 0.000 0.000 0.000 4.130 0.000 0.000 0.000 8.327" Properties=species:S:1:pos:R:3 pbc="T T T"
Ca 0.000 0.000 6.295
Ca 0.000 0.000 2.031
Tm 2.065 2.065 0.000
Sm 2.065 2.065 4.163
```

No. 4
DFT (PBE-GGA) results for a geometry-optimized CaSmTm structure.

Properties
- space-group type = P3m1 (156)
- Fermi-level density of states (states/eV/f.u.) = 4.4
- energy relative to the lowest polymorph listed for this composition (meV per atom) = 7
- calculated volume (Å³/atom) = 34.46
- magnetic moment (μB/f.u.) = 0.00
- DFT total energy (eV per atom) = -3.660

extended XYZ file:
```
3
Lattice="3.623 0.000 0.000 -1.812 3.138 0.000 0.000 0.000 9.093" Properties=species:S:1:pos:R:3 pbc="T T T"
Ca 0.000 0.000 0.042
Tm 1.812 1.046 3.147
Sm 0.000 2.092 5.905
```

No. 5
DFT (PBE-GGA) results for a geometry-optimized CaSm12Tm2 structure.

Properties
- space-group type = Cmme (67)
- Fermi-level density of states (states/eV/f.u.) = 21.7
- calculated volume (Å³/atom) = 34.46
- magnetic moment (μB/f.u.) = 0.00
- DFT total energy (eV per atom) = -4.345

extended XYZ file:
```
30
Lattice="6.585 -1.548 0.000 -1.548 6.585 0.000 0.000 0.000 25.231" Properties=species:S:1:pos:R:3 pbc="T T T"
Ca 3.293 -0.774 25.226
Ca -0.774 3.293 0.005
Sm 2.519 2.519 20.081
Sm 0.000 0.000 20.081
Sm 3.781 3.775 23.121
Sm 0.490 4.556 21.709
Sm 0.000 0.000 8.274
Sm 0.482 4.548 3.522
Sm 4.640 0.573 14.762
Sm 2.519 2.519 8.274
Sm 1.256 1.263 23.121
Sm 3.775 3.781 2.110
Sm 1.445 1.073 14.109
Sm 4.464 0.398 10.469
Sm 5.037 5.037 16.957
Sm 1.073 1.445 11.122
Sm 1.263 1.256 2.110
Sm 3.964 3.592 11.122
Sm 3.592 3.964 14.109
Sm 5.037 5.037 5.150
Sm 0.398 4.464 14.762
Sm 2.519 2.519 16.957
Sm 4.548 0.482 21.709
Sm 2.519 2.519 5.150
Sm 0.573 4.640 10.469
Sm 4.556 0.489 3.522
Tm 3.293 -0.774 6.823
Tm -0.774 3.293 6.900
Tm -0.774 3.293 18.408
Tm 3.293 -0.774 18.331
```

No. 6
DFT (PBE-GGA) results for a geometry-optimized CaSm8Tm3 structure.

Properties
- space-group type = Cm (8)
- Fermi-level density of states (states/eV/f.u.) = 16.1
- calculated volume (Å³/atom) = 33.41
- magnetic moment (μB/f.u.) = 0.00
- DFT total energy (eV per atom) = -4.402

extended XYZ file:
```
12
Lattice="-2.746 2.106 1.117 -10.507 -3.741 -6.939 -6.586 -7.232 3.382" Properties=species:S:1:pos:R:3 pbc="T T T"
Ca -14.875 -5.050 -3.396
Sm -13.500 -7.611 -1.104
Sm -16.820 -7.979 -2.648
Sm -9.633 -4.631 2.789
Sm -8.230 -4.197 -0.502
Sm -11.489 -4.601 -1.849
Sm -10.136 -4.184 -5.222
Sm -6.274 -1.292 -1.176
Sm -2.966 -0.834 0.167
Tm -10.189 -7.138 0.223
Tm -4.976 -3.845 0.913
Tm -9.594 -1.708 -2.641
```

No. 7
DFT (PBE-GGA) results for a geometry-optimized CaSm7Tm4 structure.

Properties
- space-group type = P-1 (2)
- Fermi-level density of states (states/eV/f.u.) = 15.3
- calculated volume (Å³/atom) = 32.94
- magnetic moment (μB/f.u.) = 0.00
- DFT total energy (eV per atom) = -4.386

extended XYZ file:
```
12
Lattice="6.419 -1.912 2.784 0.749 5.810 2.251 2.736 -2.341 10.906" Properties=species:S:1:pos:R:3 pbc="T T T"
Ca 0.000 0.000 0.000
Sm 5.127 1.499 3.206
Sm 4.778 0.058 12.735
Sm 2.567 -0.062 8.083
Sm 7.338 1.618 7.858
Sm 4.572 2.310 9.885
Sm 3.210 -0.956 1.392
Sm 5.333 -0.753 6.056
Tm 4.068 2.611 6.432
Tm 5.837 -1.054 9.509
Tm 7.761 1.381 11.345
Tm 2.144 0.175 4.596
```

No. 8
DFT (PBE-GGA) results for a geometry-optimized CaSm7Tm2 structure.

Properties
- space-group type = P-1 (2)
- Fermi-level density of states (states/eV/f.u.) = 14.0
- calculated volume (Å³/atom) = 33.47
- magnetic moment (μB/f.u.) = 0.00
- DFT total energy (eV per atom) = -4.353

extended XYZ file:
```
10
Lattice="-1.754 -4.128 -4.376 8.121 -1.381 -4.919 -1.059 -4.977 3.616" Properties=species:S:1:pos:R:3 pbc="T T T"
Ca 0.000 0.000 0.000
Sm 4.273 -7.215 -6.834
Sm 1.034 -3.272 1.155
Sm 3.979 -4.797 -0.050
Sm 1.328 -5.690 -5.629
Sm 6.187 -4.331 -5.847
Sm -0.880 -6.156 0.168
Sm 3.183 -2.755 -4.648
Tm 4.130 -6.024 -3.487
Tm 1.177 -4.463 -2.191
```

No. 9
DFT (PBE-GGA) results for a geometry-optimized CaSmTm structure.

Properties
- space-group type = Immm (71)
- Fermi-level density of states (states/eV/f.u.) = 4.6
- energy relative to the lowest polymorph listed for this composition (meV per atom) = 323
- calculated volume (Å³/atom) = 36.90
- magnetic moment (μB/f.u.) = 0.00
- DFT total energy (eV per atom) = -3.343

extended XYZ file:
```
6
Lattice="11.339 3.215 -0.662 -11.339 3.215 -0.662 0.000 2.458 2.530" Properties=species:S:1:pos:R:3 pbc="T T T"
Ca -4.752 4.443 0.603
Ca 4.752 4.443 0.603
Sm -8.945 4.443 0.603
Sm 8.945 4.443 0.603
Tm -1.488 4.443 0.603
Tm 1.488 4.443 0.603
```

No. 10
DFT (PBE-GGA) results for a geometry-optimized Ca2SmTm structure.

Properties
- space-group type = P4/mmm (123)
- Fermi-level density of states (states/eV/f.u.) = 7.8
- energy relative to the lowest polymorph listed for this composition (meV per atom) = 49
- calculated volume (Å³/atom) = 35.60
- magnetic moment (μB/f.u.) = 0.02
- DFT total energy (eV per atom) = -3.122

extended XYZ file:
```
4
Lattice="5.571 0.000 0.000 0.000 5.055 0.000 0.000 0.000 5.055" Properties=species:S:1:pos:R:3 pbc="T T T"
Ca 0.000 0.000 2.528
Ca 0.000 2.528 0.000
Tm 2.786 2.528 2.528
Sm 2.786 0.000 0.000
```

No. 11
DFT (PBE-GGA) results for a geometry-optimized CaSm3Y6Tm2 structure.

Properties
- space-group type = C2/m (12)
- Fermi-level density of states (states/eV/f.u.) = 20.7
- calculated volume (Å³/atom) = 32.86
- magnetic moment (μB/f.u.) = 0.00
- DFT total energy (eV per atom) = -5.267

extended XYZ file:
```
12
Lattice="6.237 0.000 0.006 -3.117 5.402 0.006 -1.050 -1.819 11.701" Properties=species:S:1:pos:R:3 pbc="T T T"
Ca 0.000 0.000 0.000
Sm -2.093 3.598 5.857
Sm 4.162 -0.015 5.857
Sm 1.035 1.792 5.857
Y 3.128 1.751 8.783
Y 2.060 3.566 2.938
Y -1.059 1.833 2.930
Y -0.047 3.585 8.783
Y 0.010 0.017 8.776
Y 2.117 -0.001 2.930
Tm 0.002 3.600 0.006
Tm 3.117 1.801 0.006
```

No. 12
DFT (PBE-GGA) results for a geometry-optimized CaSm2Y4Tm structure.

Properties
- space-group type = C2/c (15)
- Fermi-level density of states (states/eV/f.u.) = 16.9
- calculated volume (Å³/atom) = 34.49
- magnetic moment (μB/f.u.) = 2.29
- DFT total energy (eV per atom) = -4.791

extended XYZ file:
```
16
Lattice="-6.825 -5.520 3.967 1.926 -7.231 -6.067 7.681 7.444 5.430" Properties=species:S:1:pos:R:3 pbc="T T T"
Ca 1.391 -2.653 1.665
Ca 0.856 1.924 9.397
Sm -3.413 -2.760 1.984
Sm 0.428 0.962 4.699
Sm 3.840 3.722 2.715
Sm -2.450 -6.375 -1.050
Y 7.397 0.647 1.885
Y -0.808 -2.225 4.198
Y 3.590 -3.082 -0.868
Y -4.615 -5.954 1.445
Y -3.599 -9.438 -1.467
Y 0.030 -5.954 1.104
Y 2.752 0.647 2.227
Y 6.381 4.131 4.798
Tm 0.963 -3.615 -3.033
Tm -2.022 -5.414 3.649
```